No. 1
{"formula": "TbNdH2", "functional": "GGA-PBE", "state": "optimized geometry", "dos_at_fermi_per_ev_atom": 0.484, "final_energy_ev_per_cell": -17.28, "lattice_angstrom": [[1.7836, 1.0298, 6.0255], [-1.7836, 1.0298, 6.0255], [0.0000, -2.0596, 6.0255]], "species": ["Tb", "Nd", "H", "H"], "frac_coords": [[0.0000, 0.0000, 0.0000], [0.8213, 0.8213, 0.8213], [0.4038, 0.4038, 0.4038], [0.5969, 0.5969, 0.5969]]}

***

No. 2
{"formula": "TbNd3H8", "functional": "GGA-PBE", "state": "optimized geometry", "dos_at_fermi_per_ev_atom": 0.187, "final_energy_ev_per_cell": -53.76, "lattice_angstrom": [[5.4086, 0.0000, 0.0000], [0.0000, 5.4086, 0.0000], [0.0000, 0.0000, 5.4086]], "species": ["Tb", "Nd", "Nd", "Nd", "H", "H", "H", "H", "H", "H", "H", "H"], "frac_coords": [[0.0000, 0.0000, 0.0000], [0.0000, 0.5000, 0.5000], [0.5000, 0.0000, 0.5000], [0.5000, 0.5000, 0.0000], [0.2432, 0.2432, 0.2432], [0.2432, 0.2432, 0.7568], [0.2432, 0.7568, 0.2432], [0.2432, 0.7568, 0.7568], [0.7568, 0.2432, 0.2432], [0.7568, 0.2432, 0.7568], [0.7568, 0.7568, 0.2432], [0.7568, 0.7568, 0.7568]]}

***

No. 3
{"formula": "TbNdH", "functional": "GGA-PBE", "state": "optimized geometry", "dos_at_fermi_per_ev_atom": 0.935, "final_energy_ev_per_cell": -13.40, "lattice_angstrom": [[3.6928, 0.0000, 0.0000], [-1.8464, 3.1981, 0.0000], [0.0000, 0.0000, 5.7665]], "species": ["Tb", "Nd", "H"], "frac_coords": [[0.0000, 0.0000, 0.0000], [0.6667, 0.3333, 0.5181], [0.3333, 0.6667, 0.7728]]}

***

No. 4
{"formula": "Tb3NdH8", "functional": "GGA-PBE", "state": "optimized geometry", "dos_at_fermi_per_ev_atom": 0.188, "final_energy_ev_per_cell": -53.85, "lattice_angstrom": [[5.2818, 0.0000, 0.0000], [0.0000, 5.2818, 0.0000], [0.0000, 0.0000, 5.2818]], "species": ["Tb", "Tb", "Tb", "Nd", "H", "H", "H", "H", "H", "H", "H", "H"], "frac_coords": [[0.0000, 0.0000, 0.5000], [0.0000, 0.5000, 0.0000], [0.5000, 0.0000, 0.0000], [0.5000, 0.5000, 0.5000], [0.2434, 0.2434, 0.2434], [0.2434, 0.2434, 0.7566], [0.2434, 0.7566, 0.2434], [0.2434, 0.7566, 0.7566], [0.7566, 0.2434, 0.2434], [0.7566, 0.2434, 0.7566], [0.7566, 0.7566, 0.2434], [0.7566, 0.7566, 0.7566]]}

***

Number 1 is which compound? TbNdH2

***

Please write out number 4 again, unchanged.
{"formula": "Tb3NdH8", "functional": "GGA-PBE", "state": "optimized geometry", "dos_at_fermi_per_ev_atom": 0.188, "final_energy_ev_per_cell": -53.85, "lattice_angstrom": [[5.2818, 0.0000, 0.0000], [0.0000, 5.2818, 0.0000], [0.0000, 0.0000, 5.2818]], "species": ["Tb", "Tb", "Tb", "Nd", "H", "H", "H", "H", "H", "H", "H", "H"], "frac_coords": [[0.0000, 0.0000, 0.5000], [0.0000, 0.5000, 0.0000], [0.5000, 0.0000, 0.0000], [0.5000, 0.5000, 0.5000], [0.2434, 0.2434, 0.2434], [0.2434, 0.2434, 0.7566], [0.2434, 0.7566, 0.2434], [0.2434, 0.7566, 0.7566], [0.7566, 0.2434, 0.2434], [0.7566, 0.2434, 0.7566], [0.7566, 0.7566, 0.2434], [0.7566, 0.7566, 0.7566]]}